Arrangement 1

The following is a GGA-PBE calculation of crystalline LiAgSnSe3 at its relaxed geometry, from OQMD.

## Properties
Theoretical density ... 5.53 g cm⁻³
Space-group type ... Cmcm (63)

Cell lengths 6.781, 6.781, 10.926 Å; angles 90.00, 90.00, 145.81 degrees
Fractional coordinates of all 12 atoms:
Li 0.173 0.827 0.750
Li 0.827 0.173 0.250
Ag 0.123 0.877 0.250
Ag 0.877 0.123 0.750
Sn 0.500 0.500 0.000
Sn 0.500 0.500 0.500
Se 0.147 0.853 0.019
Se 0.147 0.853 0.481
Se 0.448 0.552 0.250
Se 0.552 0.448 0.750
Se 0.853 0.147 0.519
Se 0.853 0.147 0.981

---

Arrangement 2

The following is a GGA-PBE calculation of crystalline LiAgSnSe3 at its relaxed geometry, from OQMD.

## Properties
Theoretical density ... 5.24 g cm⁻³
Space-group type ... Pnma (62)

Cell lengths 12.192, 3.898, 12.539 Å; angles 90.00, 90.00, 90.00 degrees
Fractional coordinates of all 24 atoms:
Li 0.201 0.250 0.030
Li 0.299 0.750 0.530
Li 0.701 0.250 0.470
Li 0.799 0.750 0.970
Ag 0.224 0.750 0.817
Ag 0.276 0.250 0.317
Ag 0.724 0.750 0.683
Ag 0.776 0.250 0.183
Sn 0.057 0.750 0.234
Sn 0.443 0.250 0.734
Sn 0.557 0.750 0.266
Sn 0.943 0.250 0.766
Se 0.030 0.750 0.896
Se 0.068 0.250 0.385
Se 0.247 0.250 0.653
Se 0.253 0.750 0.153
Se 0.432 0.750 0.885
Se 0.470 0.250 0.396
Se 0.530 0.750 0.604
Se 0.568 0.250 0.115
Se 0.747 0.250 0.847
Se 0.753 0.750 0.347
Se 0.932 0.750 0.615
Se 0.970 0.250 0.104

---

Most stable of them? arrangement 2.

---

Arrangement 1

The following is a GGA-PBE calculation of crystalline KCd5 at its relaxed geometry, from OQMD.

## Properties
Theoretical density ... 4.83 g cm⁻³
Space-group type ... Cmcm (63)

Cell lengths 7.204, 7.204, 9.228 Å; angles 90.00, 90.00, 120.27 degrees
Fractional coordinates of all 12 atoms:
K 0.169 0.831 0.750
K 0.831 0.169 0.250
Cd 0.166 0.834 0.091
Cd 0.166 0.834 0.409
Cd 0.237 0.366 0.750
Cd 0.366 0.237 0.250
Cd 0.367 0.633 0.250
Cd 0.633 0.367 0.750
Cd 0.634 0.763 0.750
Cd 0.763 0.634 0.250
Cd 0.834 0.166 0.591
Cd 0.834 0.166 0.909

---

Arrangement 2

The following is a GGA-PBE calculation of crystalline KCd5 at its relaxed geometry, from OQMD.

## Properties
Theoretical density ... 6.49 g cm⁻³
Space-group type ... P6/mmm (191)

Cell lengths 6.042, 6.042, 4.865 Å; angles 90.00, 90.00, 120.00 degrees
Fractional coordinates of all 6 atoms:
K 0.000 0.000 0.000
Cd 0.000 0.500 0.500
Cd 0.333 0.667 0.000
Cd 0.500 0.000 0.500
Cd 0.500 0.500 0.500
Cd 0.667 0.333 0.000

---

Most stable of them? arrangement 2.